*w*
Density functional theory data (PBE-GGA) for an optimized crystal structure of TbPm3Rh3.

```
data_TbPm3Rh3
_cell_length_a 12.001
_cell_length_b 4.181
_cell_length_c 13.734
_cell_angle_alpha 90.00
_cell_angle_beta 90.00
_cell_angle_gamma 90.00
_symmetry_space_group_name_H-M 'P n m a'
_symmetry_Int_Tables_number 62
_symmetry_space_group_name_Hall '-P 2ac 2n'
loop_
_atom_site_label
_atom_site_type_symbol
_atom_site_fract_x
_atom_site_fract_y
_atom_site_fract_z
_atom_site_occupancy
Tb1 Tb 0.023 0.250 0.185 1
Pm1 Pm 0.046 0.250 0.599 1
Pm2 Pm 0.186 0.750 0.020 1
Pm3 Pm 0.248 0.250 0.804 1
Rh1 Rh 0.052 0.250 0.936 1
Rh2 Rh 0.113 0.250 0.384 1
Rh3 Rh 0.223 0.750 0.659 1
```

*x*
Density functional theory data (PBE-GGA) for an optimized crystal structure of TbPm3Rh3.

```
data_TbPm3Rh3
_cell_length_a 9.331
_cell_length_b 10.432
_cell_length_c 7.094
_cell_angle_alpha 90.00
_cell_angle_beta 90.67
_cell_angle_gamma 90.00
_symmetry_space_group_name_H-M 'C 1 2/m 1'
_symmetry_Int_Tables_number 12
_symmetry_space_group_name_Hall '-C 2y'
loop_
_atom_site_label
_atom_site_type_symbol
_atom_site_fract_x
_atom_site_fract_y
_atom_site_fract_z
_atom_site_occupancy
Tb1 Tb 0.244 0.000 0.122 1
Pm1 Pm 0.000 0.181 0.500 1
Pm2 Pm 0.000 0.251 0.000 1
Pm3 Pm 0.171 0.500 0.379 1
Rh1 Rh 0.061 0.000 0.803 1
Rh2 Rh 0.247 0.253 0.729 1
```

Which structure loses on stability? *x* does.

*w*
Density functional theory data (PBE-GGA) for an optimized crystal structure of TbPm2Rh.

```
data_TbPm2Rh
_cell_length_a 7.265
_cell_length_b 9.866
_cell_length_c 6.353
_cell_angle_alpha 90.00
_cell_angle_beta 90.00
_cell_angle_gamma 90.00
_symmetry_space_group_name_H-M 'P n m a'
_symmetry_Int_Tables_number 62
_symmetry_space_group_name_Hall '-P 2ac 2n'
loop_
_atom_site_label
_atom_site_type_symbol
_atom_site_fract_x
_atom_site_fract_y
_atom_site_fract_z
_atom_site_occupancy
Tb1 Tb 0.036 0.250 0.148 1
Pm1 Pm 0.178 0.065 0.670 1
Rh1 Rh 0.122 0.750 0.443 1
```

*x*
Density functional theory data (PBE-GGA) for an optimized crystal structure of TbPm2Rh.

```
data_TbPm2Rh
_cell_length_a 3.8935
_cell_length_b 3.8935
_cell_length_c 27.9310
_cell_angle_alpha 90.00
_cell_angle_beta 90.00
_cell_angle_gamma 120.00
_symmetry_space_group_name_H-M 'R 3 m'
_symmetry_Int_Tables_number 160
_symmetry_space_group_name_Hall 'R 3 -2"'
loop_
_atom_site_label
_atom_site_type_symbol
_atom_site_fract_x
_atom_site_fract_y
_atom_site_fract_z
_atom_site_occupancy
Tb1 Tb 0.0000 0.0000 0.0000 1
Pm1 Pm 0.0000 0.0000 0.2281 1
Pm2 Pm 0.0000 0.0000 0.4401 1
Rh1 Rh 0.0000 0.0000 0.8345 1
```

*y*
Density functional theory data (PBE-GGA) for an optimized crystal structure of TbPm2Rh.

```
data_TbPm2Rh
_cell_length_a 3.7086
_cell_length_b 3.7086
_cell_length_c 31.9151
_cell_angle_alpha 90.00
_cell_angle_beta 90.00
_cell_angle_gamma 120.00
_symmetry_space_group_name_H-M 'R -3 m'
_symmetry_Int_Tables_number 166
_symmetry_space_group_name_Hall '-R 3 2"'
loop_
_atom_site_label
_atom_site_type_symbol
_atom_site_fract_x
_atom_site_fract_y
_atom_site_fract_z
_atom_site_occupancy
Tb1 Tb 0.0000 0.0000 0.0000 1
Pm1 Pm 0.0000 0.0000 0.1100 1
Rh1 Rh 0.0000 0.0000 0.5000 1
```

*z*
Density functional theory data (PBE-GGA) for an optimized crystal structure of TbPm2Rh.

```
data_TbPm2Rh
_cell_length_a 3.590
_cell_length_b 3.590
_cell_length_c 8.707
_cell_angle_alpha 90.00
_cell_angle_beta 90.00
_cell_angle_gamma 90.00
_symmetry_space_group_name_H-M 'P 4/m m m'
_symmetry_Int_Tables_number 123
_symmetry_space_group_name_Hall '-P 4 2'
loop_
_atom_site_label
_atom_site_type_symbol
_atom_site_fract_x
_atom_site_fract_y
_atom_site_fract_z
_atom_site_occupancy
Tb1 Tb 0.000 0.000 0.000 1
Pm1 Pm 0.500 0.500 0.309 1
Rh1 Rh 0.000 0.000 0.500 1
```

Which structure loses on stability? *y* does.

*w*
Density functional theory data (PBE-GGA) for an optimized crystal structure of Tb3PmRh.

```
data_Tb3PmRh
_cell_length_a 7.619
_cell_length_b 6.548
_cell_length_c 6.216
_cell_angle_alpha 90.00
_cell_angle_beta 90.00
_cell_angle_gamma 90.00
_symmetry_space_group_name_H-M 'P m n 21'
_symmetry_Int_Tables_number 31
_symmetry_space_group_name_Hall 'P 2ac -2'
loop_
_atom_site_label
_atom_site_type_symbol
_atom_site_fract_x
_atom_site_fract_y
_atom_site_fract_z
_atom_site_occupancy
Tb1 Tb 0.000 0.153 0.000 1
Tb2 Tb 0.249 0.683 0.009 1
Pm1 Pm 0.000 0.852 0.517 1
Rh1 Rh 0.000 0.495 0.258 1
```

*x*
Density functional theory data (PBE-GGA) for an optimized crystal structure of Tb3PmRh.

```
data_Tb3PmRh
_cell_length_a 5.445
_cell_length_b 5.445
_cell_length_c 5.445
_cell_angle_alpha 90.00
_cell_angle_beta 90.00
_cell_angle_gamma 90.00
_symmetry_space_group_name_H-M 'P m -3 m'
_symmetry_Int_Tables_number 221
_symmetry_space_group_name_Hall '-P 4 2 3'
loop_
_atom_site_label
_atom_site_type_symbol
_atom_site_fract_x
_atom_site_fract_y
_atom_site_fract_z
_atom_site_occupancy
Tb1 Tb 0.000 0.000 0.500 1
Pm1 Pm 0.500 0.500 0.500 1
Rh1 Rh 0.000 0.000 0.000 1
```

Which structure loses on stability? *x* does.

*w*
Density functional theory data (PBE-GGA) for an optimized crystal structure of TbPmTlRh.

```
data_TbPmTlRh
_cell_length_a 7.344
_cell_length_b 7.344
_cell_length_c 7.344
_cell_angle_alpha 90.00
_cell_angle_beta 90.00
_cell_angle_gamma 90.00
_symmetry_space_group_name_H-M 'F -4 3 m'
_symmetry_Int_Tables_number 216
_symmetry_space_group_name_Hall 'F -4 2 3'
loop_
_atom_site_label
_atom_site_type_symbol
_atom_site_fract_x
_atom_site_fract_y
_atom_site_fract_z
_atom_site_occupancy
Tb1 Tb 0.000 0.000 0.000 1
Pm1 Pm 0.000 0.000 0.500 1
Tl1 Tl 0.250 0.250 0.750 1
Rh1 Rh 0.250 0.250 0.250 1
```

*x*
Density functional theory data (PBE-GGA) for an optimized crystal structure of TbPmTlRh.

```
data_TbPmTlRh
_cell_length_a 3.548
_cell_length_b 3.548
_cell_length_c 7.892
_cell_angle_alpha 90.00
_cell_angle_beta 90.00
_cell_angle_gamma 90.00
_symmetry_space_group_name_H-M 'P 4 m m'
_symmetry_Int_Tables_number 99
_symmetry_space_group_name_Hall 'P 4 -2'
loop_
_atom_site_label
_atom_site_type_symbol
_atom_site_fract_x
_atom_site_fract_y
_atom_site_fract_z
_atom_site_occupancy
Tb1 Tb 0.000 0.000 0.000 1
Pm1 Pm 0.000 0.000 0.426 1
Tl1 Tl 0.500 0.500 0.720 1
Rh1 Rh 0.500 0.500 0.201 1
```

Which structure loses on stability? *w* does.

*w*
Density functional theory data (PBE-GGA) for an optimized crystal structure of TbPmZnRh.

```
data_TbPmZnRh
_cell_length_a 7.094
_cell_length_b 7.094
_cell_length_c 7.094
_cell_angle_alpha 90.00
_cell_angle_beta 90.00
_cell_angle_gamma 90.00
_symmetry_space_group_name_H-M 'F -4 3 m'
_symmetry_Int_Tables_number 216
_symmetry_space_group_name_Hall 'F -4 2 3'
loop_
_atom_site_label
_atom_site_type_symbol
_atom_site_fract_x
_atom_site_fract_y
_atom_site_fract_z
_atom_site_occupancy
Tb1 Tb 0.000 0.000 0.000 1
Pm1 Pm 0.000 0.000 0.500 1
Zn1 Zn 0.250 0.250 0.750 1
Rh1 Rh 0.250 0.250 0.250 1
```

*x*
Density functional theory data (PBE-GGA) for an optimized crystal structure of TbPmZnRh.

```
data_TbPmZnRh
_cell_length_a 4.412
_cell_length_b 3.935
_cell_length_c 10.745
_cell_angle_alpha 90.00
_cell_angle_beta 90.00
_cell_angle_gamma 90.00
_symmetry_space_group_name_H-M 'A m m 2'
_symmetry_Int_Tables_number 38
_symmetry_space_group_name_Hall 'A 2 -2'
loop_
_atom_site_label
_atom_site_type_symbol
_atom_site_fract_x
_atom_site_fract_y
_atom_site_fract_z
_atom_site_occupancy
Tb1 Tb 0.000 0.000 0.000 1
Pm1 Pm 0.500 0.000 0.279 1
Zn1 Zn 0.000 0.000 0.708 1
Rh1 Rh 0.500 0.000 0.562 1
```

Which structure loses on stability? *w* does.

*w*
Density functional theory data (PBE-GGA) for an optimized crystal structure of Pm8TcRh2.

```
data_Pm8TcRh2
_cell_length_a 17.802
_cell_length_b 5.046
_cell_length_c 6.984
_cell_angle_alpha 90.00
_cell_angle_beta 105.66
_cell_angle_gamma 90.00
_symmetry_space_group_name_H-M 'C 1 2/m 1'
_symmetry_Int_Tables_number 12
_symmetry_space_group_name_Hall '-C 2y'
loop_
_atom_site_label
_atom_site_type_symbol
_atom_site_fract_x
_atom_site_fract_y
_atom_site_fract_z
_atom_site_occupancy
Pm1 Pm 0.032 0.000 0.292 1
Pm2 Pm 0.092 0.500 0.946 1
Pm3 Pm 0.167 0.500 0.465 1
Pm4 Pm 0.201 0.000 0.818 1
Tc1 Tc 0.000 0.500 0.500 1
Rh1 Rh 0.194 0.000 0.211 1
```

*x*
Density functional theory data (PBE-GGA) for an optimized crystal structure of Pm8TcRh2.

```
data_Pm8TcRh2
_cell_length_a 8.346
_cell_length_b 13.106
_cell_length_c 6.094
_cell_angle_alpha 90.00
_cell_angle_beta 110.69
_cell_angle_gamma 90.00
_symmetry_space_group_name_H-M 'C 1 m 1'
_symmetry_Int_Tables_number 8
_symmetry_space_group_name_Hall 'C -2y'
loop_
_atom_site_label
_atom_site_type_symbol
_atom_site_fract_x
_atom_site_fract_y
_atom_site_fract_z
_atom_site_occupancy
Pm1 Pm 0.000 0.000 0.000 1
Pm2 Pm 0.066 0.375 0.771 1
Pm3 Pm 0.144 0.127 0.575 1
Pm4 Pm 0.217 0.500 0.363 1
Pm5 Pm 0.349 0.209 0.179 1
Tc1 Tc 0.365 0.000 0.260 1
Rh1 Rh 0.360 0.304 0.684 1
```

Which structure loses on stability? *x* does.

*w*
Density functional theory data (PBE-GGA) for an optimized crystal structure of Pm2TeRh.

```
data_Pm2TeRh
_cell_length_a 4.1891
_cell_length_b 4.1891
_cell_length_c 22.6075
_cell_angle_alpha 90.00
_cell_angle_beta 90.00
_cell_angle_gamma 120.00
_symmetry_space_group_name_H-M 'R 3 m'
_symmetry_Int_Tables_number 160
_symmetry_space_group_name_Hall 'R 3 -2"'
loop_
_atom_site_label
_atom_site_type_symbol
_atom_site_fract_x
_atom_site_fract_y
_atom_site_fract_z
_atom_site_occupancy
Pm1 Pm 0.0000 0.0000 0.0000 1
Pm2 Pm 0.0000 0.0000 0.1935 1
Te1 Te 0.0000 0.0000 0.7631 1
Rh1 Rh 0.0000 0.0000 0.5976 1
```

*x*
Density functional theory data (PBE-GGA) for an optimized crystal structure of Pm2TeRh.

```
data_Pm2TeRh
_cell_length_a 3.692
_cell_length_b 3.692
_cell_length_c 7.479
_cell_angle_alpha 90.00
_cell_angle_beta 90.00
_cell_angle_gamma 90.00
_symmetry_space_group_name_H-M 'P 4/m m m'
_symmetry_Int_Tables_number 123
_symmetry_space_group_name_Hall '-P 4 2'
loop_
_atom_site_label
_atom_site_type_symbol
_atom_site_fract_x
_atom_site_fract_y
_atom_site_fract_z
_atom_site_occupancy
Pm1 Pm 0.000 0.000 0.225 1
Te1 Te 0.500 0.500 0.500 1
Rh1 Rh 0.500 0.500 0.000 1
```

Which structure loses on stability? *x* does.

*w*
Density functional theory data (PBE-GGA) for an optimized crystal structure of Pm3Te2Rh.

```
data_Pm3Te2Rh
_cell_length_a 4.197
_cell_length_b 6.285
_cell_length_c 13.539
_cell_angle_alpha 90.00
_cell_angle_beta 90.00
_cell_angle_gamma 90.00
_symmetry_space_group_name_H-M 'I m m m'
_symmetry_Int_Tables_number 71
_symmetry_space_group_name_Hall '-I 2 2'
loop_
_atom_site_label
_atom_site_type_symbol
_atom_site_fract_x
_atom_site_fract_y
_atom_site_fract_z
_atom_site_occupancy
Pm1 Pm 0.000 0.000 0.000 1
Pm2 Pm 0.000 0.000 0.362 1
Te1 Te 0.000 0.500 0.322 1
Rh1 Rh 0.000 0.500 0.000 1
```

*x*
Density functional theory data (PBE-GGA) for an optimized crystal structure of Pm3Te2Rh.

```
data_Pm3Te2Rh
_cell_length_a 6.195
_cell_length_b 14.984
_cell_length_c 4.228
_cell_angle_alpha 90.00
_cell_angle_beta 90.00
_cell_angle_gamma 90.00
_symmetry_space_group_name_H-M 'C m m m'
_symmetry_Int_Tables_number 65
_symmetry_space_group_name_Hall '-C 2 2'
loop_
_atom_site_label
_atom_site_type_symbol
_atom_site_fract_x
_atom_site_fract_y
_atom_site_fract_z
_atom_site_occupancy
Pm1 Pm 0.000 0.000 0.000 1
Pm2 Pm 0.000 0.375 0.500 1
Te1 Te 0.000 0.160 0.500 1
Rh1 Rh 0.000 0.500 0.000 1
```

Which structure loses on stability? *x* does.